Here is a geometry-optimized RePSe2 structure from the Alexandria database. Energies are from GGA-PBE.

The structure in CIF format:
```
data_RePSe2
_chemical_formula_sum 'Re2 P2 Se4'
_space_group_name_H-M_alt 'C m m 2'
_space_group_IT_number 35
_cell_length_a 3.105
_cell_length_b 4.800
_cell_length_c 10.238
_cell_angle_alpha 90.00
_cell_angle_beta 90.00
_cell_angle_gamma 90.00
loop_
_space_group_symop_operation_xyz
'x,y,z'
'-x,-y,z'
'-x,y,z'
'x,-y,z'
'x+1/2,y+1/2,z'
'-x+1/2,-y+1/2,z'
'-x+1/2,y+1/2,z'
'x+1/2,-y+1/2,z'
loop_
_atom_site_label
_atom_site_type_symbol
_atom_site_fract_x
_atom_site_fract_y
_atom_site_fract_z
_atom_site_occupancy
Re1 Re 0.000 0.000 0.000 1
P1 P 0.000 0.500 0.827 1
Se1 Se 0.000 0.000 0.534 1
Se2 Se 0.000 0.500 0.215 1
```

Calculated values
E_form (uncorrected): 0.4497 eV/atom
calculated volume: 152.58 Å³/cell
total energy: -46.1 eV for the cell shown